The following is a DFT calculation (PBE-GGA) of an optimized crystal structure of Er8P3Se4O.

Geometry as POSCAR:
```
Er8P3Se4O
1.0
3.899 2.251 6.588
-3.899 2.251 6.588
0.000 -4.502 6.588
Er P Se O
8 3 4 1
Cartesian
0.000 0.000 4.787
-1.881 -1.086 11.314
0.000 -2.172 8.450
-1.881 1.086 8.450
1.881 -1.086 11.314
0.000 2.172 11.314
1.881 1.086 8.450
0.000 0.000 14.978
-3.899 0.000 9.882
-1.949 1.125 3.294
1.949 1.125 3.294
0.000 0.000 0.000
-1.949 -1.125 6.588
-1.949 1.125 13.176
0.000 2.251 6.588
0.000 0.000 9.882
```

Values from the calculation:
ΔE_f (raw), eV per atom: -1.820
Total moment, μB per formula unit: 0.00

---

The following is a DFT calculation (PBE-GGA) of an optimized crystal structure of U3SbSe8.

Geometry as POSCAR:
```
U3SbSe8
1.0
8.331 0.000 0.000
-4.165 7.215 0.000
0.000 0.000 12.937
U Sb Se
6 2 16
Cartesian
0.000 2.391 0.000
-2.095 6.019 0.000
2.070 1.195 6.469
2.095 6.019 0.000
6.261 1.195 6.469
4.165 4.824 6.469
0.000 4.810 3.152
4.165 2.405 9.621
0.000 0.000 1.508
0.000 0.000 7.977
-1.963 3.676 1.638
0.000 2.337 5.052
-2.142 6.046 5.052
2.024 1.168 11.521
0.000 4.810 11.460
1.963 3.676 1.638
0.000 7.077 1.638
4.165 0.138 8.106
2.202 3.538 8.106
4.165 2.405 4.992
2.142 6.046 5.052
6.307 1.168 11.521
4.165 4.878 11.521
6.129 3.538 8.106
```

Values from the calculation:
ΔE_f (raw), eV per atom: -0.901
Total moment, μB per formula unit: 5.00

---

The following is a DFT calculation (PBE-GGA) of an optimized crystal structure of Tb2GdSb.

Geometry as POSCAR:
```
Tb2GdSb
1.0
2.005 1.157 9.681
-2.005 1.157 9.681
0.000 -2.315 9.681
Tb Gd Sb
2 1 1
Cartesian
0.000 0.000 6.787
0.000 0.000 22.255
0.000 0.000 0.000
0.000 0.000 14.521
```

Values from the calculation:
Relative energy among the computed polymorphs, meV per atom: 182
ΔE_f (raw), eV per atom: -0.327
Total moment, μB per formula unit: 8.78

---

The following is a DFT calculation (PBE-GGA) of an optimized crystal structure of KTaIr2.

Geometry as POSCAR:
```
KTaIr2
1.0
3.038 0.000 0.000
0.000 4.859 0.000
0.000 0.000 4.869
K Ta Ir
1 1 2
Cartesian
0.000 0.000 0.000
0.000 2.429 2.434
1.519 0.000 2.434
1.519 2.429 0.000
```

Values from the calculation:
Calculated formation energy, eV/atom: 0.708
Relative energy among the computed polymorphs, meV per atom: 744
Total moment, μB per formula unit: 0.00

---

The following is a DFT calculation (PBE-GGA) of an optimized crystal structure of LiPaPd3.

Geometry as POSCAR:
```
LiPaPd3
1.0
7.624 -1.729 0.000
7.624 1.729 0.000
-1.314 0.000 6.695
Li Pa Pd
2 2 6
Cartesian
2.816 0.000 2.402
11.117 0.000 4.294
-0.776 0.000 5.240
14.709 0.000 1.455
1.876 0.000 5.691
4.652 0.000 5.984
5.526 0.000 3.129
8.408 0.000 3.567
9.281 0.000 0.712
12.058 0.000 1.004
```

Values from the calculation:
Calculated formation energy, eV/atom: -0.489
Relative energy among the computed polymorphs, meV per atom: 0
Total moment, μB per formula unit: 0.00

---

The following is a DFT calculation (PBE-GGA) of an optimized crystal structure of AcCeGeIr.

Geometry as POSCAR:
```
AcCeGeIr
1.0
4.764 0.000 0.000
0.000 4.764 0.000
0.000 0.000 10.339
Ac Ce Ge Ir
2 2 2 2
Cartesian
1.191 1.191 1.764
3.573 3.573 8.576
1.191 3.573 5.170
3.573 1.191 5.170
1.191 1.191 9.051
3.573 3.573 1.288
1.191 1.191 6.644
3.573 3.573 3.695
```

Values from the calculation:
Calculated formation energy, eV/atom: -0.530
Relative energy among the computed polymorphs, meV per atom: 0
Total moment, μB per formula unit: 0.44

---

The following is a DFT calculation (PBE-GGA) of an optimized crystal structure of Li2Ga4Cu.

Geometry as POSCAR:
```
Li2Ga4Cu
1.0
-3.179 3.179 2.765
3.179 -3.179 2.765
3.179 3.179 -2.765
Li Ga Cu
2 4 1
Cartesian
3.179 0.000 1.383
0.000 3.179 1.383
1.309 1.309 0.000
1.870 -1.870 2.765
-1.870 1.870 2.765
1.870 1.870 2.765
0.000 0.000 2.765
```

Values from the calculation:
Calculated formation energy, eV/atom: -0.101
Relative energy among the computed polymorphs, meV per atom: 14
Total moment, μB per formula unit: 0.00

---

The following is a DFT calculation (PBE-GGA) of an optimized crystal structure of Tb3PmTh2Bi6.

Geometry as POSCAR:
```
Tb3PmTh2Bi6
1.0
9.891 -2.276 0.000
9.891 2.276 0.000
-2.053 0.000 8.836
Tb Pm Th Bi
3 1 2 6
Cartesian
0.000 0.000 0.000
5.241 0.000 5.887
12.489 0.000 2.949
-1.026 0.000 4.418
6.275 0.000 1.494
11.455 0.000 7.342
3.093 0.000 0.772
2.137 0.000 5.112
8.309 0.000 6.656
9.422 0.000 2.179
15.593 0.000 3.723
14.638 0.000 8.064
```

Values from the calculation:
Calculated formation energy, eV/atom: -0.792
Total moment, μB per formula unit: 0.00